MgAlMo2 PBE relaxed; DOS at the Fermi energy = 0.5533 states/eV/atom; volume = 64.62 Å³/f.u.; polymorph energy (0 for the lowest one) = 127.3 meV per atom
1.0
3.860 0.000 0.000
0.000 3.860 0.000
0.000 0.000 4.337
Mg Al Mo
1 1 2
Cartesian
0.000 0.000 0.000
1.930 1.930 0.000
0.000 1.930 2.169
1.930 0.000 2.169